Ag2IrOs | PBE | relaxed

abc: 2.690 4.499 5.304
angles: 90.00 90.00 90.00
Fractional positions:
Ag 0.000 0.000 0.249
Ag 0.000 0.000 0.751
Ir 0.500 0.500 0.500
Os 0.500 0.500 0.000

Properties
As for the energy above the most stable polymorph in this dataset: 482 meV per atom. As for the space group: No. 47. The total energy comes out at -5.683 eV/atom. The value obtained for the formation energy is 73.84 kJ/mol of atoms.

---

AgIr2Os | PBE | relaxed

abc: 3.959 3.959 3.873
angles: 90.00 90.00 90.00
Fractional positions:
Ag 0.000 0.000 0.000
Ir 0.000 0.500 0.500
Ir 0.500 0.000 0.500
Os 0.500 0.500 0.000

Properties
As for the energy above the most stable polymorph in this dataset: 447 meV per atom. As for the space group: No. 123. The total energy comes out at -7.321 eV/atom. The value obtained for the formation energy is 60.71 kJ/mol of atoms.